This record from the Alexandria database describes a relaxed Pa2Zn2Au3 crystal. The functional is PBE.

a b c (Å): 4.132 7.315 9.946
angles (deg): 90.00 101.99 90.00
Sites, in units of the cell vectors:
Zn1 0.308 0.057 0.616
Zn2 0.692 0.557 0.384
Zn3 0.308 0.443 0.616
Zn4 0.692 0.943 0.384
Au1 0.772 0.250 0.544
Au2 0.566 0.442 0.131
Au3 0.434 0.558 0.869
Au4 0.228 0.750 0.456
Au5 0.434 0.942 0.869
Au6 0.566 0.058 0.131
Pa1 0.155 0.250 0.311
Pa2 0.845 0.750 0.689
Pa3 0.940 0.250 0.880
Pa4 0.060 0.750 0.120

Results
The space group is Cmcm, No. 63. The density of states at the Fermi level is 18.3 states/eV per cell. The calculation puts the formation energy at -24 kJ per mole of atoms. The energy relative to the lowest polymorph listed for this composition comes out at 0 meV per atom. The total moment comes out at 1.335 Bohr magnetons per cell.



This record from the Alexandria database describes a relaxed PaZnAu3 crystal. The functional is PBE.

a b c (Å): 5.169 4.812 10.193
angles (deg): 103.65 120.51 90.00
Sites, in units of the cell vectors:
Pa1 0.298 0.402 0.804
Pa2 0.702 0.598 0.196
Au1 0.101 0.796 0.591
Au2 0.899 0.204 0.409
Au3 0.252 0.002 0.003
Au4 0.748 0.998 0.997
Au5 0.399 0.696 0.391
Au6 0.601 0.304 0.609
Zn1 0.267 0.138 0.276
Zn2 0.733 0.862 0.724

Results
The space group is C2/m, No. 12. The density of states at the Fermi level is 9.5 states/eV per cell. The calculation puts the formation energy at -18 kJ per mole of atoms. The total moment comes out at 1.704 Bohr magnetons per cell.



Q: Look up the total moment of the first one.
A: 1.335 Bohr magnetons per cell



Q: What is the total moment in the first record?
A: 1.335 Bohr magnetons per cell



Q: What is the total moment in the second record?
A: 1.704 Bohr magnetons per cell



Q: total moment of number 2 (PaZnAu3)?
A: 1.704 Bohr magnetons per cell